1.
Below is a relaxed structure of Tm2MgCu, with properties calculated at the PBE-GGA level.

Calculated values
DFT formation energy = -1.58 kcal/mol of atoms
ΔE to the lowest computed polymorph = 0.095 eV per atom
crystal system = cubic

Geometry as CIF:
```
data_Tm2MgCu
_chemical_formula_sum 'Tm8 Mg4 Cu4'
_symmetry_space_group_name_H-M 'F m -3 m'
_symmetry_Int_Tables_number 225
_symmetry_space_group_name_Hall '-F 4 2 3'
_cell_length_a 7.155
_cell_length_b 7.155
_cell_length_c 7.155
_cell_angle_alpha 90.00
_cell_angle_beta 90.00
_cell_angle_gamma 90.00
loop_
_atom_site_label
_atom_site_type_symbol
_atom_site_fract_x
_atom_site_fract_y
_atom_site_fract_z
Tm1 Tm 0.250 0.250 0.250
Mg1 Mg 0.000 0.000 0.000
Cu1 Cu 0.000 0.000 0.500
```

2.
Below is a relaxed structure of Th2Ga3Pd, with properties calculated at the PBE-GGA level.

Calculated values
DFT formation energy = -16.19 kcal/mol of atoms
crystal system = orthorhombic

Geometry as CIF:
```
data_Th2Ga3Pd
_chemical_formula_sum 'Th16 Ga24 Pd8'
_symmetry_space_group_name_H-M 'F m m m'
_symmetry_Int_Tables_number 69
_symmetry_space_group_name_Hall '-F 2 2'
_cell_length_a 8.053
_cell_length_b 8.761
_cell_length_c 15.212
_cell_angle_alpha 90.00
_cell_angle_beta 90.00
_cell_angle_gamma 90.00
loop_
_atom_site_label
_atom_site_type_symbol
_atom_site_fract_x
_atom_site_fract_y
_atom_site_fract_z
Th1 Th 0.240 0.000 0.000
Th2 Th 0.250 0.250 0.250
Ga1 Ga 0.000 0.000 0.336
Ga2 Ga 0.000 0.247 0.417
Pd1 Pd 0.000 0.000 0.169
```

3.
Below is a relaxed structure of Dy2ErHg, with properties calculated at the PBE-GGA level.

Calculated values
DFT formation energy = -5.13 kcal/mol of atoms
ΔE to the lowest computed polymorph = 0.000 eV per atom
crystal system = tetragonal

Geometry as CIF:
```
data_Dy2ErHg
_chemical_formula_sum 'Dy2 Er1 Hg1'
_symmetry_space_group_name_H-M 'P 4/m m m'
_symmetry_Int_Tables_number 123
_symmetry_space_group_name_Hall '-P 4 2'
_cell_length_a 3.586
_cell_length_b 3.586
_cell_length_c 8.893
_cell_angle_alpha 90.00
_cell_angle_beta 90.00
_cell_angle_gamma 90.00
loop_
_atom_site_label
_atom_site_type_symbol
_atom_site_fract_x
_atom_site_fract_y
_atom_site_fract_z
Dy1 Dy 0.000 0.000 0.225
Er1 Er 0.500 0.500 0.500
Hg1 Hg 0.500 0.500 0.000
```